[1]
KYGe2I8 | PBE | optimized geometry

Results
The total energy comes out at -38.91 eV/cell. Its size of the total moment is 0.00 μB per formula unit. As for the raw formation energy: -0.81 eV per atom.

Cell: 7.2529 7.7515 9.6349 Å, 85.23 86.49 85.52°
Space group P-1 (No. 2)
Inequivalent atoms, fractional coordinates:
K 0.0000 0.0000 0.0000 x1
Y 0.0000 0.0000 0.5000 x1
Ge 0.4539 0.4616 0.2441 x2
I 0.2310 0.3213 0.4741 x2
I 0.2490 0.8297 0.2788 x2
I 0.2567 0.8421 0.7236 x2
I 0.2768 0.3621 0.0268 x2

=====

[2]
SrB | PBE | optimized geometry

Results
The formation enthalpy at 0 K comes out at 107 meV per atom. For the energy relative to the lowest polymorph listed for this composition, the calculation gives 0.128 eV per atom. The total energy comes out at -48.87 eV/cell. Its size of the total moment is 0.00 μB per formula unit.

Cell: 10.5589 10.5589 3.2622 Å, 90.00 90.00 120.00°
Space group P6_3/mmc (No. 194)
Inequivalent atoms, fractional coordinates:
Sr 0.2146 0.4291 0.2500 x6
B 0.0206 0.5103 0.7500 x6

=====

[3]
Cr3Os | PBE | optimized geometry

Results
The formation enthalpy at 0 K comes out at 226 meV per atom. The total energy comes out at -78.39 eV/cell. Its size of the total moment is 0.07 μB per formula unit.

Cell: 5.1896 5.1896 4.2993 Å, 90.00 90.00 120.00°
Space group P6_3/mmc (No. 194)
Inequivalent atoms, fractional coordinates:
Cr 0.1655 0.3310 0.2500 x6
Os 0.3333 0.6667 0.7500 x2

=====

[4]
PuTh2Tl9 | PBE | optimized geometry

Results
The formation enthalpy at 0 K comes out at -118 meV per atom. The total energy comes out at -51.88 eV/cell. Its size of the total moment is 6.11 μB per formula unit.

Cell: 4.8051 4.8051 14.4972 Å, 90.00 90.00 90.00°
Space group P4/mmm (No. 123)
Inequivalent atoms, fractional coordinates:
Pu 0.0000 0.0000 0.0000 x1
Th 0.0000 0.0000 0.3342 x2
Tl 0.0000 0.5000 0.1632 x4
Tl 0.0000 0.5000 0.5000 x2
Tl 0.5000 0.5000 0.0000 x1
Tl 0.5000 0.5000 0.3304 x2

=====

[5]
CuAgRh | PBE | optimized geometry

Results
The formation enthalpy at 0 K comes out at 175 meV per atom. For the energy relative to the lowest polymorph listed for this composition, the calculation gives 0.102 eV per atom. The total energy comes out at -27.55 eV/cell. Its size of the total moment is 0.20 μB per formula unit.

Cell: 2.7600 2.7600 11.6022 Å, 90.00 90.00 90.00°
Space group I4mm (No. 107)
Inequivalent atoms, fractional coordinates:
Cu 0.0000 0.0000 0.0000 x2
Ag 0.0000 0.0000 0.6671 x2
Rh 0.0000 0.0000 0.3499 x2

=====

[6]
CsRb4Au2O | PBE | optimized geometry

Results
The total energy comes out at -40.54 eV/cell. Its size of the total moment is 0.00 μB per formula unit. As for the raw formation energy: -0.50 eV per atom.

Cell: 13.9851 4.4157 12.9714 Å, 90.00 118.37 90.00°
Space group C2/m (No. 12)
Inequivalent atoms, fractional coordinates:
Cs 0.0000 0.0000 0.0000 x2
Rb 0.1107 0.0000 0.4620 x4
Rb 0.1432 0.5000 0.7312 x4
Au 0.1427 0.5000 0.2536 x4
O 0.0000 0.5000 0.5000 x2

=====

[7]
La2CrFe | PBE | optimized geometry

Results
The formation enthalpy at 0 K comes out at 505 meV per atom. For the energy relative to the lowest polymorph listed for this composition, the calculation gives 0.147 eV per atom. The total energy comes out at -51.84 eV/cell. Its size of the total moment is 5.48 μB per formula unit.

Cell: 4.3679 4.3679 9.7265 Å, 90.00 90.00 90.00°
Space group I-4m2 (No. 119)
Inequivalent atoms, fractional coordinates:
La 0.0000 0.0000 0.0000 x2
La 0.0000 0.5000 0.2500 x2
Cr 0.0000 0.5000 0.7500 x2
Fe 0.0000 0.0000 0.5000 x2

=====

[8]
Tl6SeBr2Cl2 | PBE | optimized geometry

Results
The total energy comes out at -66.06 eV/cell. Its size of the total moment is 0.00 μB per formula unit. As for the raw formation energy: -0.76 eV per atom.

Cell: 7.4133 14.4521 8.1347 Å, 90.00 113.07 90.00°
Space group C2/m (No. 12)
Inequivalent atoms, fractional coordinates:
Tl 0.2325 0.1556 0.2499 x8
Tl 0.2389 0.0000 0.7069 x4
Se 0.0000 0.5000 0.5000 x2
Br 0.0000 0.3530 0.0000 x4
Cl 0.0000 0.2013 0.5000 x4

=====

[9]
CuNiBr2 | PBE | optimized geometry

Results
For the energy relative to the lowest polymorph listed for this composition, the calculation gives 0.290 eV per atom. The total energy comes out at -25.02 eV/cell. Its size of the total moment is 0.36 μB per formula unit. As for the raw formation energy: 0.18 eV per atom.

Cell: 7.0561 7.0544 4.1546 Å, 90.00 113.90 90.00°
Space group C2/m (No. 12)
Inequivalent atoms, fractional coordinates:
Cu 0.0000 0.0000 0.0000 x2
Ni 0.0000 0.5000 0.0000 x2
Br 0.2500 0.2500 0.0000 x4

=====

[10]
Cr2InBr | PBE | optimized geometry

Results
For the energy relative to the lowest polymorph listed for this composition, the calculation gives 0.125 eV per atom. The total energy comes out at -44.59 eV/cell. Its size of the total moment is 0.38 μB per formula unit. As for the raw formation energy: 0.34 eV per atom.

Cell: 3.2549 4.6488 11.6542 Å, 90.00 90.00 90.00°
Space group Imm2 (No. 44)
Inequivalent atoms, fractional coordinates:
Cr 0.0000 0.0000 0.0000 x2
Cr 0.0000 0.5000 0.3346 x2
In 0.0000 0.5000 0.8530 x2
Br 0.0000 0.0000 0.6261 x2

=====

[11]
Ba6Ag7 | PBE | optimized geometry

Results
The formation enthalpy at 0 K comes out at -92 meV per atom. The total energy comes out at -98.08 eV/cell. Its size of the total moment is 0.00 μB per formula unit.

Cell: 6.9812 6.9812 32.9859 Å, 90.00 90.00 120.00°
Space group R-3m (No. 166, hexagonal axes)
Inequivalent atoms, fractional coordinates:
Ba 0.0000 0.0000 0.0637 x6
Ba 0.0000 0.0000 0.1762 x6
Ba 0.0000 0.0000 0.3205 x6
Ag 0.0000 0.0000 0.5000 x3
Ag 0.0642 0.5321 0.0900 x18

=====

[12]
Ta5Mo6W | PBE | optimized geometry

Results
The formation enthalpy at 0 K comes out at -192 meV per atom. The total energy comes out at -279.02 eV/cell. Its size of the total moment is 0.00 μB per formula unit.

Cell: 4.5444 6.4339 13.7005 Å, 90.00 90.00 90.00°
Space group Immm (No. 71)
Inequivalent atoms, fractional coordinates:
Ta 0.0000 0.0000 0.0000 x2
Ta 0.0000 0.0000 0.3335 x4
Ta 0.0000 0.5000 0.3335 x4
Mo 0.0000 0.2471 0.5000 x4
Mo 0.0000 0.2514 0.1654 x8
W 0.0000 0.5000 0.0000 x2

=====

The highest size of the total moment belongs to which entry?
PuTh2Tl9